AcThP2 | PBE-GGA | optimized geometry

a = 7.754 Å, b = 7.754 Å, c = 7.754 Å
α = 31.36°, β = 31.36°, γ = 31.36°
Fractional coordinates of all 4 atoms:
Ac (0.000, 0.000, 0.000)
Th (0.173, 0.173, 0.173)
P (0.580, 0.580, 0.580)
P (0.762, 0.762, 0.762)

* formation energy: -5.477 eV/f.u.
* distance to the lowest polymorph of the same formula: 0.55 eV per formula unit
* space group: R3m, No. 160


Cs2VIBr5 | PBE-GGA | optimized geometry

a = 7.848 Å, b = 7.848 Å, c = 7.848 Å
α = 119.17°, β = 119.17°, γ = 91.45°
Fractional coordinates of all 9 atoms:
Cs (0.000, 0.500, 0.500)
Cs (0.500, 0.000, 0.500)
V (0.247, 0.247, 0.000)
I (0.499, 0.499, 0.000)
Br (0.019, 0.019, 0.000)
Br (0.028, 0.028, 0.555)
Br (0.028, 0.473, 0.000)
Br (0.473, 0.028, 0.000)
Br (0.473, 0.473, 0.445)

* formation energy from raw total energies: -10.845 eV per formula unit
* space group: I4mm, No. 107


NaPrGa | PBE-GGA | optimized geometry

a = 7.427 Å, b = 6.413 Å, c = 5.988 Å
α = 73.49°, β = 55.88°, γ = 50.63°
Fractional coordinates of all 6 atoms:
Na (0.165, 0.835, 0.165)
Na (0.835, 0.165, 0.835)
Pr (0.321, 0.321, 0.679)
Pr (0.679, 0.679, 0.321)
Ga (0.250, 0.250, 0.250)
Ga (0.750, 0.750, 0.750)

* formation energy: -0.303 eV/f.u.
* space group: Fmmm, No. 69